1.
# Pa2InCu3

Pa2InCu3 after structural relaxation (PBE, Alexandria).

Summary:
- SG: Fmmm, No. 69
- Calculated formation energy: 1.5 kJ per mole of atoms

Cell: 5.594 5.594 8.570 Å, 102.02 102.02 111.21°
Last column: magnetic moment on the atom in μB.
Element x y z (fractional)
Pa 0.250 0.750 0.500  0.43
Pa 0.780 0.780 0.000  0.45
Pa 0.750 0.250 0.500  0.43
Pa 0.220 0.220 0.000  0.45
In 0.337 0.337 0.674  0.00
In 0.663 0.663 0.326  0.00
Cu 0.672 0.167 0.839  0.01
Cu 0.833 0.328 0.161  0.01
Cu 0.328 0.833 0.161  0.01
Cu 0.167 0.672 0.839  0.01
Cu 0.836 0.836 0.671  0.01
Cu 0.164 0.164 0.329  0.01


2.
# Sc2MoPt

Sc2MoPt after structural relaxation (PBE, Alexandria).

Summary:
- SG: R-3m, No. 166
- Calculated formation energy: -17.1 kJ per mole of atoms

Cell: 9.166 9.166 9.166 Å, 19.33 19.33 19.33°
Element x y z (fractional)
Mo 0.250 0.250 0.250
Pt 0.750 0.750 0.750
Sc 0.002 0.002 0.002
Sc 0.498 0.498 0.498